No. 1
DFT (PBE) results for an optimized crystal structure of Pr4NiPtBr2.

Geometry as CIF:
```
data_Pr4NiPtBr2
_chemical_formula_sum 'Pr4 Ni1 Pt1 Br2'
_cell_length_a 7.238
_cell_length_b 4.224
_cell_length_c 8.151
_cell_angle_alpha 90.00
_cell_angle_beta 107.26
_cell_angle_gamma 90.00
_symmetry_space_group_name_H-M 'P 1'
_symmetry_Int_Tables_number 1
loop_
_symmetry_equiv_pos_as_xyz
'x,y,z'
loop_
_atom_site_label
_atom_site_fract_x
_atom_site_fract_y
_atom_site_fract_z
Pr1 0.227 0.000 0.195
Pr2 0.256 0.500 0.804
Pr3 0.744 0.500 0.196
Pr4 0.773 0.000 0.805
Ni1 0.000 0.500 0.000
Pt1 0.500 0.000 0.000
Br1 0.000 0.000 0.500
Br2 0.500 0.500 0.500
```

Computed properties:
- Space-group type: P2/m
- Total magnetization: 0.00 μB/f.u.
- Calculated density: 6.8 g/cm3
- Final energy: -42.4 eV per cell


No. 2
DFT (PBE) results for an optimized crystal structure of Pm3SmTm6.

Geometry as CIF:
```
data_Pm3SmTm6
_chemical_formula_sum 'Pm6 Sm2 Tm12'
_cell_length_a 10.934
_cell_length_b 10.934
_cell_length_c 6.196
_cell_angle_alpha 90.00
_cell_angle_beta 90.00
_cell_angle_gamma 119.47
_symmetry_space_group_name_H-M 'P 1'
_symmetry_Int_Tables_number 1
loop_
_symmetry_equiv_pos_as_xyz
'x,y,z'
loop_
_atom_site_label
_atom_site_fract_x
_atom_site_fract_y
_atom_site_fract_z
Pm1 0.108 0.892 0.500
Pm2 0.217 0.436 0.105
Pm3 0.436 0.217 0.605
Pm4 0.564 0.783 0.105
Pm5 0.783 0.564 0.605
Pm6 0.892 0.108 0.000
Sm1 0.294 0.706 0.419
Sm2 0.706 0.294 0.919
Tm1 0.039 0.462 0.697
Tm2 0.116 0.213 0.533
Tm3 0.213 0.116 0.033
Tm4 0.217 0.783 0.926
Tm5 0.454 0.546 0.656
Tm6 0.462 0.039 0.197
Tm7 0.538 0.961 0.697
Tm8 0.546 0.454 0.156
Tm9 0.783 0.217 0.426
Tm10 0.787 0.884 0.533
Tm11 0.884 0.787 0.033
Tm12 0.961 0.538 0.197
```

Computed properties:
- Space-group type: Cmc2_1
- Total magnetization: 0.00 μB/f.u.
- Calculated density: 8.2 g/cm3
- Energy of formation: 0.149 eV/atom
- Final energy: -88.6 eV per cell
- Offset from the most stable computed form: 0.0000 eV per atom


No. 3
DFT (PBE) results for an optimized crystal structure of Sm2AlTc.

Geometry as CIF:
```
data_Sm2AlTc
_chemical_formula_sum 'Sm2 Al1 Tc1'
_cell_length_a 3.632
_cell_length_b 3.632
_cell_length_c 7.028
_cell_angle_alpha 90.00
_cell_angle_beta 90.00
_cell_angle_gamma 90.00
_symmetry_space_group_name_H-M 'P 1'
_symmetry_Int_Tables_number 1
loop_
_symmetry_equiv_pos_as_xyz
'x,y,z'
loop_
_atom_site_label
_atom_site_fract_x
_atom_site_fract_y
_atom_site_fract_z
Sm1 0.000 0.000 0.233
Sm2 0.000 0.000 0.767
Al1 0.500 0.500 0.500
Tc1 0.500 0.500 0.000
```

Computed properties:
- Space-group type: P4/mmm
- Total magnetization: 0.00 μB/f.u.
- Calculated density: 7.6 g/cm3
- Energy of formation: -0.063 eV/atom
- Final energy: -23.8 eV per cell


No. 4
DFT (PBE) results for an optimized crystal structure of Sr4MnCl.

Geometry as CIF:
```
data_Sr4MnCl
_chemical_formula_sum 'Sr4 Mn1 Cl1'
_cell_length_a 7.492
_cell_length_b 7.492
_cell_length_c 7.492
_cell_angle_alpha 60.00
_cell_angle_beta 60.00
_cell_angle_gamma 60.00
_symmetry_space_group_name_H-M 'P 1'
_symmetry_Int_Tables_number 1
loop_
_symmetry_equiv_pos_as_xyz
'x,y,z'
loop_
_atom_site_label
_atom_site_fract_x
_atom_site_fract_y
_atom_site_fract_z
Sr1 0.376 0.376 0.376
Sr2 0.376 0.376 0.872
Sr3 0.376 0.872 0.376
Sr4 0.872 0.376 0.376
Mn1 0.750 0.750 0.750
Cl1 0.000 0.000 0.000
```

Computed properties:
- Space-group type: F-43m
- Total magnetization: 4.77 μB/f.u.
- Calculated density: 2.5 g/cm3
- Final energy: -15.0 eV per cell


What did the first record say?
DFT (PBE) results for an optimized crystal structure of Pr4NiPtBr2.

Geometry as CIF:
```
data_Pr4NiPtBr2
_chemical_formula_sum 'Pr4 Ni1 Pt1 Br2'
_cell_length_a 7.238
_cell_length_b 4.224
_cell_length_c 8.151
_cell_angle_alpha 90.00
_cell_angle_beta 107.26
_cell_angle_gamma 90.00
_symmetry_space_group_name_H-M 'P 1'
_symmetry_Int_Tables_number 1
loop_
_symmetry_equiv_pos_as_xyz
'x,y,z'
loop_
_atom_site_label
_atom_site_fract_x
_atom_site_fract_y
_atom_site_fract_z
Pr1 0.227 0.000 0.195
Pr2 0.256 0.500 0.804
Pr3 0.744 0.500 0.196
Pr4 0.773 0.000 0.805
Ni1 0.000 0.500 0.000
Pt1 0.500 0.000 0.000
Br1 0.000 0.000 0.500
Br2 0.500 0.500 0.500
```

Computed properties:
- Space-group type: P2/m
- Total magnetization: 0.00 μB/f.u.
- Calculated density: 6.8 g/cm3
- Final energy: -42.4 eV per cell


Which formula does entry 2 have? Pm3SmTm6